DFT (PBE) results for a relaxed structure of CsCaAs.

Summary:
DOS(E_F) = 0.588 states/eV/cell
SG = No. 62
Energy relative to the elements = -0.31 eV per atom

```
data_CsCaAs
_chemical_formula_sum 'Cs4 Ca4 As4'
_cell_length_a 11.6410
_cell_length_b 7.6477
_cell_length_c 7.7310
_cell_angle_alpha 90.00
_cell_angle_beta 90.00
_cell_angle_gamma 90.00
_space_group_name_H-M_alt 'P 1'
_space_group_IT_number 1
_space_group_name_Hall 'P 1'
loop_
_atom_site_label
_atom_site_fract_x
_atom_site_fract_y
_atom_site_fract_z
Cs1 0.1366 0.2500 0.0268
Cs2 0.3634 0.7500 0.5268
Cs3 0.6366 0.2500 0.4732
Cs4 0.8634 0.7500 0.9732
Ca1 0.0000 0.0000 0.5000
Ca2 0.0000 0.5000 0.5000
Ca3 0.5000 0.0000 0.0000
Ca4 0.5000 0.5000 0.0000
As1 0.0997 0.7500 0.2846
As2 0.4003 0.2500 0.7846
As3 0.5997 0.7500 0.2154
As4 0.9003 0.2500 0.7154
```